No. 1
# AsPdNF2

Crystalline AsPdNF2 at its relaxed geometry (PBE, Alexandria).

Properties
Total energy = -22.100 eV for the cell shown
Formation energy (no corrections) = -0.038 eV/atom
V = 66.9 Å³/f.u.
Excess energy over the best structure of this formula in the dataset = 0.0 kJ per mole of atoms

a b c (Å): 4.2136 4.2136 3.7665
angles (deg): 90.00 90.00 90.00
Each line ends with the local moment (μB).
Fractional positions:
As: 0.0000 0.0000 0.0000  -0.01
F: 0.0000 0.5000 0.0000  0.01
N: 0.0000 0.0000 0.5000  0.18
F: 0.5000 0.0000 0.0000  0.01
Pd: 0.5000 0.5000 0.5000  0.73

---

No. 2
# Sr4In5Hg6

Crystalline Sr4In5Hg6 at its relaxed geometry (PBE, Alexandria).

Properties
Total energy = -55.010 eV for the cell shown
V = 451.3 Å³/f.u.
Energy relative to the elements = -352 meV per atom

a b c (Å): 4.6343 12.0677 16.4459
angles (deg): 90.00 90.00 101.07
Fractional positions:
In: 0.8445 0.6890 0.1359
In: 0.6843 0.3687 0.1019
Hg: 0.7820 0.5641 0.9820
Hg: 0.1038 0.2076 0.0925
Hg: 0.4218 0.8435 0.1401
In: 0.6693 0.3386 0.7765
In: 0.3573 0.7146 0.9763
Hg: 0.4217 0.8433 0.4387
Sr: 0.8492 0.6985 0.7932
Sr: 0.0460 0.0919 0.7855
Hg: 0.2180 0.4359 0.4820
In: 0.3157 0.6313 0.6019
Hg: 0.8962 0.7924 0.5925
In: 0.5468 0.0936 0.1742
Hg: 0.4526 0.9052 0.8593
Sr: 0.9749 0.9497 0.0128
Hg: 0.5782 0.1565 0.6401
Sr: 0.1916 0.3832 0.9342
Sr: 0.0251 0.0503 0.5128
In: 0.4532 0.9064 0.6742
Hg: 0.5474 0.0948 0.3593
Sr: 0.8084 0.6168 0.4342
Hg: 0.5783 0.1567 0.9387
In: 0.6427 0.2854 0.4763
Hg: 0.2514 0.5028 0.7525
Hg: 0.7486 0.4972 0.2525
In: 0.1555 0.3110 0.6359
In: 0.3307 0.6614 0.2765
Sr: 0.1508 0.3015 0.2932
Sr: 0.9540 0.9081 0.2855

---

No. 3
# KPmSO6

Crystalline KPmSO6 at its relaxed geometry (PBE, Alexandria).

Properties
Total energy = -51.618 eV for the cell shown
Formation energy (no corrections) = -1.321 eV/atom
V = 122.9 Å³/f.u.

a b c (Å): 5.5409 5.5415 4.6229
angles (deg): 90.01 90.00 59.98
Each line ends with the local moment (μB).
Fractional positions:
O: 0.1124 0.5979 0.7100  0.29
K: 0.6666 0.6667 0.4999  0.00
O: 0.2897 0.5976 0.2897  0.29
Pm: 0.9998 0.0000 0.0000  -0.03
O: 0.2896 0.1127 0.7102  0.30
O: 0.1127 0.2895 0.2899  0.30
S: 0.3334 0.3334 0.5000  -0.02
O: 0.5979 0.1125 0.2899  0.29
O: 0.5976 0.2898 0.7103  0.29